# Be2AlCu2 (GGA-PBE, optimized geometry)
data_Be2AlCu2
_chemical_formula_sum 'Be4 Al2 Cu4'
_symmetry_space_group_name_H-M 'P 4/m b m'
_symmetry_Int_Tables_number 127
_symmetry_space_group_name_Hall '-P 4 2ab'
_cell_length_a 6.5405
_cell_length_b 6.5405
_cell_length_c 2.6308
_cell_angle_alpha 90.00
_cell_angle_beta 90.00
_cell_angle_gamma 90.00
loop_
_atom_site_label
_atom_site_type_symbol
_atom_site_fract_x
_atom_site_fract_y
_atom_site_fract_z
Be1 Be 0.1610 0.3390 0.0000
Al1 Al 0.0000 0.0000 0.5000
Cu1 Cu 0.1358 0.6358 0.5000
# * E_form: 0.0089 eV per atom
# * total magnetization: 0.0 μB/cell
# * energy: -38.69 eV/cell
# * D(E_F): 1.2 states/eV/f.u.